a.
Compound: Cd9Hg2Pb
Source: Alexandria
Functional: PBE
Structure: optimized geometry

Summary:
As for the crystal system: tetragonal. As for the space-group type: No. 123. As for the calculated density: 9.29 g/cm3.

Cell lengths 4.444, 4.444, 14.666 Å; angles 90.00, 90.00, 90.00 degrees
Element x y z (fractional)
Cd 0.500 0.000 0.500
Cd 0.000 0.500 0.176
Cd 0.500 0.500 0.000
Cd 0.500 0.000 0.824
Cd 0.500 0.500 0.338
Cd 0.500 0.500 0.662
Cd 0.000 0.500 0.824
Cd 0.500 0.000 0.176
Cd 0.000 0.500 0.500
Pb 0.000 0.000 0.000
Hg 0.000 0.000 0.339
Hg 0.000 0.000 0.661

b.
Compound: Cd9Hg2Pb
Source: Alexandria
Functional: PBE
Structure: optimized geometry

Summary:
As for the crystal system: hexagonal. As for the space-group type: No. 191. As for the calculated density: 9.24 g/cm3.

Cell lengths 3.198, 10.255, 10.255 Å; angles 120.00, 90.00, 90.00 degrees
Element x y z (fractional)
Cd 0.000 0.500 0.000
Cd 0.500 0.649 0.825
Cd 0.500 0.175 0.351
Cd 0.000 0.500 0.500
Cd 0.500 0.175 0.825
Cd 0.500 0.825 0.175
Cd 0.500 0.351 0.175
Cd 0.500 0.825 0.649
Cd 0.000 0.000 0.500
Pb 0.000 0.000 0.000
Hg 0.000 0.667 0.333
Hg 0.000 0.333 0.667

Name the least stable of them. b.

a.
Compound: Cd2Hg7Pb2
Source: Alexandria
Functional: PBE
Structure: optimized geometry

Summary:
As for the crystal system: monoclinic. As for the space-group type: No. 12. As for the calculated density: 11.28 g/cm3.

Cell lengths 7.395, 9.131, 9.131 Å; angles 63.42, 44.52, 44.52 degrees
Element x y z (fractional)
Hg 0.313 0.449 0.915
Hg 0.313 0.915 0.449
Hg 0.866 0.389 0.389
Hg 0.687 0.085 0.551
Hg 0.134 0.611 0.611
Hg 0.500 0.000 0.000
Hg 0.687 0.551 0.085
Cd 0.615 0.679 0.679
Cd 0.385 0.321 0.321
Pb 0.000 0.179 0.821
Pb 0.000 0.821 0.179

b.
Compound: Cd2Hg7Pb2
Source: Alexandria
Functional: PBE
Structure: optimized geometry

Summary:
As for the crystal system: orthorhombic. As for the space-group type: No. 44. As for the calculated density: 11.09 g/cm3.

Cell lengths 3.470, 10.350, 10.350 Å; angles 57.02, 80.35, 80.35 degrees
Element x y z (fractional)
Cd 0.289 0.298 0.123
Cd 0.711 0.877 0.702
Hg 0.839 0.480 0.841
Hg 0.652 0.439 0.257
Hg 0.139 0.738 0.985
Hg 0.861 0.015 0.262
Hg 0.348 0.743 0.561
Hg 0.161 0.159 0.520
Hg 0.500 0.049 0.951
Pb 0.000 0.676 0.324
Pb 0.500 0.380 0.620

Name the least stable of them. a.

a.
Compound: Cd12Hg6Pb
Source: Alexandria
Functional: PBE
Structure: optimized geometry

Summary:
As for the crystal system: trigonal. As for the space-group type: No. 166. As for the calculated density: 9.32 g/cm3.

Cell lengths 8.420, 8.420, 8.420 Å; angles 107.39, 107.39, 107.39 degrees
Element x y z (fractional)
Cd 0.887 0.500 0.113
Cd 0.500 0.113 0.887
Cd 0.113 0.500 0.887
Cd 0.347 0.104 0.347
Cd 0.347 0.347 0.104
Cd 0.653 0.653 0.896
Cd 0.500 0.887 0.113
Cd 0.896 0.653 0.653
Cd 0.104 0.347 0.347
Cd 0.887 0.113 0.500
Cd 0.113 0.887 0.500
Cd 0.653 0.896 0.653
Hg 0.703 0.303 0.303
Hg 0.297 0.697 0.697
Hg 0.303 0.703 0.303
Hg 0.697 0.697 0.297
Hg 0.697 0.297 0.697
Hg 0.303 0.303 0.703
Pb 0.000 0.000 0.000

b.
Compound: Cd12Hg6Pb
Source: Alexandria
Functional: PBE
Structure: optimized geometry

Summary:
As for the crystal system: trigonal. As for the space-group type: No. 148. As for the calculated density: 9.52 g/cm3.

Cell lengths 7.836, 7.836, 7.836 Å; angles 89.70, 89.70, 89.70 degrees
Element x y z (fractional)
Cd 0.449 0.774 0.542
Cd 0.756 0.672 0.015
Cd 0.015 0.756 0.672
Cd 0.542 0.449 0.774
Cd 0.551 0.226 0.458
Cd 0.985 0.244 0.328
Cd 0.774 0.542 0.449
Cd 0.226 0.458 0.551
Cd 0.244 0.328 0.985
Cd 0.672 0.015 0.756
Cd 0.328 0.985 0.244
Cd 0.458 0.551 0.226
Hg 0.793 0.917 0.378
Hg 0.622 0.207 0.083
Hg 0.207 0.083 0.622
Hg 0.378 0.793 0.917
Hg 0.083 0.622 0.207
Hg 0.917 0.378 0.793
Pb 0.000 0.000 0.000

Name the least stable of them. a.

a.
Compound: Cd4Hg4Pb3
Source: Alexandria
Functional: PBE
Structure: optimized geometry

Summary:
As for the crystal system: orthorhombic. As for the space-group type: No. 71. As for the calculated density: 10.52 g/cm3.

Cell lengths 4.896, 7.250, 9.411 Å; angles 112.65, 105.08, 90.00 degrees
Element x y z (fractional)
Cd 0.677 0.902 0.354
Cd 0.323 0.098 0.646
Cd 0.677 0.453 0.354
Cd 0.323 0.547 0.646
Hg 0.500 0.779 0.000
Hg 0.190 0.690 0.381
Hg 0.500 0.221 0.000
Hg 0.810 0.310 0.619
Pb 0.105 0.105 0.209
Pb 0.895 0.895 0.791
Pb 0.000 0.500 0.000

b.
Compound: Cd4Hg4Pb3
Source: Alexandria
Functional: PBE
Structure: optimized geometry

Summary:
As for the crystal system: triclinic. As for the space-group type: No. 2. As for the calculated density: 10.73 g/cm3.

Cell lengths 3.561, 5.290, 15.653 Å; angles 81.87, 83.59, 91.11 degrees
Element x y z (fractional)
Pb 0.136 0.643 0.718
Pb 0.000 0.000 0.000
Pb 0.864 0.357 0.282
Cd 0.407 0.910 0.184
Cd 0.593 0.090 0.816
Cd 0.266 0.267 0.470
Cd 0.734 0.733 0.530
Hg 0.541 0.547 0.905
Hg 0.316 0.814 0.371
Hg 0.684 0.186 0.629
Hg 0.459 0.453 0.095

Name the least stable of them. a.

a.
Compound: CdHg4Pb7
Source: Alexandria
Functional: PBE
Structure: optimized geometry

Summary:
As for the crystal system: monoclinic. As for the space-group type: No. 12. As for the calculated density: 10.48 g/cm3.

Cell lengths 5.688, 9.619, 7.739 Å; angles 79.35, 68.44, 72.80 degrees
Element x y z (fractional)
Hg 0.575 0.226 0.624
Hg 0.720 0.673 0.887
Hg 0.280 0.327 0.113
Hg 0.425 0.774 0.376
Cd 0.000 0.000 0.000
Pb 0.354 0.555 0.736
Pb 0.077 0.672 0.174
Pb 0.788 0.891 0.534
Pb 0.923 0.328 0.826
Pb 0.212 0.109 0.466
Pb 0.500 0.000 0.000
Pb 0.646 0.445 0.264

b.
Compound: CdHg4Pb7
Source: Alexandria
Functional: PBE
Structure: optimized geometry

Summary:
As for the crystal system: trigonal. As for the space-group type: No. 164. As for the calculated density: 11.39 g/cm3.

Cell lengths 5.470, 5.470, 13.307 Å; angles 90.00, 90.00, 120.00 degrees
Element x y z (fractional)
Hg 0.667 0.333 0.088
Hg 0.333 0.667 0.671
Hg 0.667 0.333 0.329
Hg 0.333 0.667 0.912
Pb 0.000 0.000 0.000
Pb 0.667 0.333 0.841
Pb 0.667 0.333 0.579
Pb 0.333 0.667 0.421
Pb 0.000 0.000 0.737
Pb 0.333 0.667 0.159
Pb 0.000 0.000 0.263
Cd 0.000 0.000 0.500

Name the least stable of them. a.

a.
Compound: CdHgPb5
Source: Alexandria
Functional: PBE
Structure: optimized geometry

Summary:
As for the crystal system: tetragonal. As for the space-group type: No. 123. As for the calculated density: 10.37 g/cm3.

Cell lengths 5.005, 5.005, 8.623 Å; angles 90.00, 90.00, 90.00 degrees
Element x y z (fractional)
Pb 0.000 0.500 0.279
Pb 0.500 0.500 0.000
Pb 0.500 0.000 0.279
Pb 0.000 0.500 0.721
Pb 0.500 0.000 0.721
Hg 0.000 0.000 0.000
Cd 0.000 0.000 0.500

b.
Compound: CdHgPb5
Source: Alexandria
Functional: PBE
Structure: optimized geometry

Summary:
As for the crystal system: orthorhombic. As for the space-group type: No. 44. As for the calculated density: 7.55 g/cm3.

Cell lengths 9.557, 6.796, 7.434 Å; angles 117.20, 130.00, 90.00 degrees
Element x y z (fractional)
Cd 0.860 0.500 0.000
Hg 0.772 0.000 0.000
Pb 0.412 0.280 0.560
Pb 0.121 0.748 0.000
Pb 0.121 0.252 0.000
Pb 0.392 0.500 0.000
Pb 0.852 0.720 0.440

Name the least stable of them. b.

a.
Compound: Cd7Hg3Pb
Source: Alexandria
Functional: PBE
Structure: optimized geometry

Summary:
As for the crystal system: monoclinic. As for the space-group type: No. 12. As for the calculated density: 9.12 g/cm3.

Cell lengths 5.928, 7.789, 7.789 Å; angles 90.59, 114.49, 114.49 degrees
Element x y z (fractional)
Cd 0.671 0.936 0.408
Cd 0.671 0.408 0.936
Cd 0.748 0.832 0.832
Cd 0.000 0.500 0.500
Cd 0.329 0.592 0.064
Cd 0.252 0.168 0.168
Cd 0.329 0.064 0.592
Hg 0.000 0.761 0.239
Hg 0.500 0.000 0.000
Hg 0.000 0.239 0.761
Pb 0.500 0.500 0.500

b.
Compound: Cd7Hg3Pb
Source: Alexandria
Functional: PBE
Structure: optimized geometry

Summary:
As for the crystal system: orthorhombic. As for the space-group type: No. 63. As for the calculated density: 7.92 g/cm3.

Cell lengths 3.277, 14.643, 14.038 Å; angles 90.00, 90.00, 96.43 degrees
Element x y z (fractional)
Cd 0.558 0.116 0.250
Cd 0.631 0.262 0.937
Cd 0.369 0.738 0.063
Cd 0.271 0.542 0.074
Cd 0.631 0.262 0.563
Cd 0.729 0.458 0.574
Cd 0.369 0.738 0.437
Cd 0.522 0.044 0.604
Cd 0.522 0.044 0.896
Cd 0.478 0.956 0.104
Cd 0.271 0.542 0.426
Cd 0.442 0.884 0.750
Cd 0.729 0.458 0.926
Cd 0.478 0.956 0.396
Hg 0.232 0.465 0.750
Hg 0.929 0.857 0.930
Hg 0.071 0.143 0.430
Hg 0.768 0.535 0.250
Hg 0.929 0.857 0.570
Hg 0.071 0.143 0.070
Pb 0.089 0.177 0.750
Pb 0.911 0.823 0.250

Name the least stable of them. b.

a.
Compound: Cd2Hg8Pb
Source: Alexandria
Functional: PBE
Structure: optimized geometry

Summary:
As for the crystal system: tetragonal. As for the space-group type: No. 123. As for the calculated density: 11.18 g/cm3.

Cell lengths 5.334, 5.334, 10.633 Å; angles 90.00, 90.00, 90.00 degrees
Element x y z (fractional)
Hg 0.000 0.500 0.835
Hg 0.500 0.500 0.322
Hg 0.500 0.000 0.835
Hg 0.500 0.000 0.165
Hg 0.000 0.500 0.500
Hg 0.000 0.500 0.165
Hg 0.500 0.000 0.500
Hg 0.500 0.500 0.678
Cd 0.000 0.000 0.342
Cd 0.000 0.000 0.658
Pb 0.000 0.000 0.000

b.
Compound: Cd2Hg8Pb
Source: Alexandria
Functional: PBE
Structure: optimized geometry

Summary:
As for the crystal system: monoclinic. As for the space-group type: No. 12. As for the calculated density: 11.70 g/cm3.

Cell lengths 3.509, 8.462, 10.894 Å; angles 114.76, 99.27, 90.00 degrees
Element x y z (fractional)
Hg 0.404 0.514 0.808
Hg 0.320 0.080 0.639
Hg 0.858 0.791 0.717
Hg 0.142 0.209 0.283
Hg 0.040 0.724 0.080
Hg 0.960 0.276 0.920
Hg 0.680 0.920 0.361
Hg 0.596 0.486 0.192
Cd 0.228 0.645 0.456
Cd 0.772 0.355 0.544
Pb 0.500 0.000 0.000

Name the least stable of them. a.

a.
Compound: Cd5Hg3Pb2
Source: Alexandria
Functional: PBE
Structure: optimized geometry

Summary:
As for the crystal system: monoclinic. As for the space-group type: No. 15. As for the calculated density: 10.19 g/cm3.

Cell lengths 6.808, 8.827, 8.827 Å; angles 101.47, 95.16, 95.16 degrees
Element x y z (fractional)
Cd 0.128 0.981 0.268
Cd 0.628 0.268 0.981
Cd 0.872 0.019 0.732
Cd 0.372 0.732 0.019
Cd 0.250 0.463 0.537
Cd 0.001 0.710 0.792
Cd 0.750 0.537 0.463
Cd 0.499 0.208 0.290
Cd 0.999 0.290 0.208
Cd 0.501 0.792 0.710
Hg 0.250 0.042 0.958
Hg 0.880 0.227 0.515
Hg 0.120 0.773 0.485
Hg 0.620 0.485 0.773
Hg 0.750 0.958 0.042
Hg 0.380 0.515 0.227
Pb 0.621 0.872 0.375
Pb 0.379 0.128 0.625
Pb 0.121 0.375 0.872
Pb 0.879 0.625 0.128

b.
Compound: Cd5Hg3Pb2
Source: Alexandria
Functional: PBE
Structure: optimized geometry

Summary:
As for the crystal system: orthorhombic. As for the space-group type: No. 72. As for the calculated density: 9.95 g/cm3.

Cell lengths 6.007, 9.886, 9.886 Å; angles 92.63, 72.31, 72.31 degrees
Element x y z (fractional)
Pb 0.116 0.636 0.132
Pb 0.884 0.364 0.868
Pb 0.616 0.132 0.636
Pb 0.384 0.868 0.364
Cd 0.250 0.500 0.500
Cd 0.133 0.018 0.717
Cd 0.867 0.982 0.283
Cd 0.498 0.752 0.752
Cd 0.750 0.500 0.500
Cd 0.998 0.752 0.752
Cd 0.367 0.283 0.982
Cd 0.633 0.717 0.018
Cd 0.502 0.248 0.248
Cd 0.002 0.248 0.248
Hg 0.250 0.000 0.000
Hg 0.628 0.520 0.224
Hg 0.750 0.000 0.000
Hg 0.128 0.224 0.520
Hg 0.372 0.480 0.776
Hg 0.872 0.776 0.480

Name the least stable of them. b.

a.
Compound: Cd7Hg2Pb
Source: Alexandria
Functional: PBE
Structure: optimized geometry

Summary:
As for the crystal system: orthorhombic. As for the space-group type: No. 65. As for the calculated density: 7.72 g/cm3.

Cell lengths 4.916, 8.574, 8.574 Å; angles 123.82, 90.00, 90.00 degrees
Element x y z (fractional)
Cd 0.000 0.205 0.795
Cd 0.500 0.293 0.080
Cd 0.500 0.500 0.500
Cd 0.500 0.080 0.293
Cd 0.000 0.795 0.205
Cd 0.500 0.920 0.707
Cd 0.500 0.707 0.920
Hg 0.500 0.300 0.700
Hg 0.500 0.700 0.300
Pb 0.000 0.000 0.000

b.
Compound: Cd7Hg2Pb
Source: Alexandria
Functional: PBE
Structure: optimized geometry

Summary:
As for the crystal system: tetragonal. As for the space-group type: No. 139. As for the calculated density: 8.87 g/cm3.

Cell lengths 4.814, 4.814, 11.777 Å; angles 101.79, 101.79, 90.00 degrees
Element x y z (fractional)
Cd 0.250 0.750 0.500
Cd 0.500 0.500 0.000
Cd 0.098 0.598 0.195
Cd 0.598 0.098 0.195
Cd 0.402 0.902 0.805
Cd 0.902 0.402 0.805
Cd 0.750 0.250 0.500
Hg 0.674 0.674 0.347
Hg 0.326 0.326 0.653
Pb 0.000 0.000 0.000

Name the least stable of them. a.